LiTcSn2 PBE-GGA optimized geometry; V = 174.3 Å³ per cell; E = -4.62 eV per atom; magnetization = 2.02 μB per formula unit; energy relative to the elements = 0.448 eV/atom; ΔE to the lowest computed polymorph = 517 meV per atom
1.0
-1.8415 2.6949 -2.8779
-2.8929 -3.0817 -1.0346
-8.0350 2.9282 4.5934
Li Sn Tc
2 4 2
Cartesian
-2.3672 -0.1934 -1.9563 Li
-6.6475 -0.1734 0.8013 Li
-7.7998 2.0531 1.9785 Sn
-10.1707 1.8558 0.0209 Sn
-4.0458 -0.8588 0.1438 Sn
-3.5225 2.0329 -0.7815 Sn
-6.1218 2.7149 -0.1204 Tc
0.0000 0.0000 0.0000 Tc